Run w
## SrAcSbI (GGA-PBE)

Data for a relaxed SrAcSbI crystal.

Cell and atoms, written as POSCAR:
```
SrAcSbI
1.0
4.802 0.000 0.000
2.401 4.159 0.000
2.401 1.386 18.688
Ac Sb I Sr
2 2 2 2
Direct
0.199 0.199 0.403
0.801 0.801 0.597
0.896 0.896 0.311
0.104 0.104 0.689
0.702 0.702 0.894
0.298 0.298 0.106
0.401 0.401 0.798
0.599 0.599 0.202
```

Values from the calculation:
DOS(E_F) ... 0.09 states/eV per atom

Run x
## SrAcSbI (GGA-PBE)

Data for a relaxed SrAcSbI crystal.

Cell and atoms, written as POSCAR:
```
SrAcSbI
1.0
-3.522 4.421 -1.298
-5.590 -0.199 1.533
-1.978 3.464 4.210
Ac Sr Sb I
1 1 1 1
Direct
0.250 0.250 0.250
0.750 0.750 0.750
0.000 0.000 0.000
0.500 0.500 0.500
```

Values from the calculation:
DOS(E_F) ... 0.52 states/eV per atom

Of them, the most stable is run w and the least stable is run x.

Run w
## Ac2SeI (GGA-PBE)

Data for a relaxed Ac2SeI crystal.

Cell and atoms, written as POSCAR:
```
Ac2SeI
1.0
-0.634 2.884 -3.146
-3.595 2.386 -0.047
2.563 7.835 3.706
Ac Se I
2 1 1
Direct
0.263 0.263 0.210
0.737 0.737 0.790
0.000 0.000 0.000
0.500 0.500 0.500
```

Values from the calculation:
DOS(E_F) ... 0.75 states/eV per atom

Run x
## Ac2SeI (GGA-PBE)

Data for a relaxed Ac2SeI crystal.

Cell and atoms, written as POSCAR:
```
Ac2SeI
1.0
-1.233 3.187 -2.003
-3.587 -0.356 1.642
2.304 4.696 6.051
Ac I Se
2 1 1
Direct
0.000 0.000 0.766
0.000 0.000 0.234
0.500 0.500 0.500
0.500 0.500 0.000
```

Values from the calculation:
DOS(E_F) ... 0.72 states/eV per atom

Run y
## Ac2SeI (GGA-PBE)

Data for a relaxed Ac2SeI crystal.

Cell and atoms, written as POSCAR:
```
Ac2SeI
1.0
4.222 0.000 0.000
2.111 3.656 0.000
2.111 1.219 9.076
Se I Ac
1 1 2
Direct
0.666 0.666 0.002
0.500 0.500 0.500
0.261 0.261 0.216
0.073 0.073 0.782
```

Values from the calculation:
DOS(E_F) ... 0.71 states/eV per atom

Run z
## Ac2SeI (GGA-PBE)

Data for a relaxed Ac2SeI crystal.

Cell and atoms, written as POSCAR:
```
Ac2SeI
1.0
5.626 0.000 0.000
2.813 4.872 0.000
2.813 1.624 4.594
Ac I Se
2 1 1
Direct
0.750 0.750 0.750
0.250 0.250 0.250
0.000 0.000 0.000
0.500 0.500 0.500
```

Values from the calculation:
DOS(E_F) ... 0.84 states/eV per atom

Of them, the most stable is run y and the least stable is run z.

Run w
## Ac4Si2I3 (GGA-PBE)

Data for a relaxed Ac4Si2I3 crystal.

Cell and atoms, written as POSCAR:
```
Ac4Si2I3
1.0
6.418 0.006 0.004
0.551 10.734 -0.797
0.551 2.704 10.418
Ac I Si
8 6 4
Direct
0.051 0.795 0.590
0.495 0.945 0.314
0.949 0.205 0.410
0.995 0.314 0.945
0.551 0.590 0.795
0.005 0.686 0.055
0.505 0.055 0.686
0.449 0.410 0.205
0.009 0.006 0.802
0.491 0.198 0.994
0.991 0.994 0.198
0.250 0.653 0.347
0.750 0.347 0.653
0.509 0.802 0.006
0.938 0.415 0.185
0.438 0.185 0.415
0.562 0.815 0.585
0.062 0.585 0.815
```

Values from the calculation:
DOS(E_F) ... 0.46 states/eV per atom

Run x
## Ac4Si2I3 (GGA-PBE)

Data for a relaxed Ac4Si2I3 crystal.

Cell and atoms, written as POSCAR:
```
Ac4Si2I3
1.0
4.632 0.000 0.005
-2.316 4.012 -0.005
-0.002 0.001 19.880
Ac I Si
4 3 2
Direct
0.666 0.334 0.122
0.001 0.999 0.710
0.999 0.001 0.290
0.334 0.666 0.878
0.334 0.666 0.602
0.666 0.334 0.398
0.000 0.000 0.000
0.667 0.333 0.798
0.333 0.667 0.202
```

Values from the calculation:
DOS(E_F) ... 0.39 states/eV per atom

Of them, the most stable is run x and the least stable is run w.

Run w
## Ac2SiI2 (GGA-PBE)

Data for a relaxed Ac2SiI2 crystal.

Cell and atoms, written as POSCAR:
```
Ac2SiI2
1.0
-2.636 3.809 -0.475
-4.638 -0.387 -0.195
-2.814 2.411 12.120
I Ac Si
2 2 1
Direct
0.447 0.916 0.189
0.553 0.084 0.811
0.718 0.204 0.361
0.282 0.796 0.639
0.000 0.500 0.500
```

Run x
## Ac2SiI2 (GGA-PBE)

Data for a relaxed Ac2SiI2 crystal.

Cell and atoms, written as POSCAR:
```
Ac2SiI2
1.0
-0.089 1.906 -4.000
-7.025 -4.446 0.493
-5.363 8.959 4.388
Ac I Si
4 4 2
Direct
0.954 0.907 0.407
0.235 0.470 0.145
0.046 0.093 0.907
0.765 0.530 0.645
0.902 0.803 0.127
0.626 0.252 0.330
0.098 0.197 0.627
0.374 0.748 0.830
0.664 0.328 0.976
0.336 0.672 0.476
```

Values from the calculation:
DOS(E_F) ... 0.55 states/eV per atom

Of them, the most stable is run w and the least stable is run x.